Record 1
Below is a geometry-optimized PmP2Pb structure, with properties calculated at the GGA-PBE level.

Lattice parameters (Å, degrees): 3.883 3.883 6.336 90.00 90.00 90.00
Space group P4/mmm (No. 123)
One atom of each set of equivalent atoms:
Pm1 0.000 0.000 0.000 [1 per cell]
P1 0.500 0.500 0.186 [2 per cell]
Pb1 0.000 0.000 0.500 [1 per cell]

Results
- V: 23.88 Å³ per atom
- E: -21.3 eV for the cell shown


Record 2
Below is a geometry-optimized YNbTeRu2 structure, with properties calculated at the GGA-PBE level.

Lattice parameters (Å, degrees): 4.745 4.745 5.301 90.00 90.00 90.00
Space group P4/mmm (No. 123)
One atom of each set of equivalent atoms:
Y1 0.000 0.000 0.000 [1 per cell]
Nb1 0.500 0.500 0.500 [1 per cell]
Te1 0.500 0.500 0.000 [1 per cell]
Ru1 0.000 0.500 0.500 [2 per cell]

Results
- V: 23.87 Å³ per atom
- Formation energy from raw total energies: 508 meV/atom


Record 3
Below is a geometry-optimized MnCrTcAs2 structure, with properties calculated at the GGA-PBE level.

Lattice parameters (Å, degrees): 4.464 4.464 4.451 90.00 90.00 90.00
Space group P4/mmm (No. 123)
One atom of each set of equivalent atoms:
Mn1 0.000 0.000 0.000 [1 per cell]
Cr1 0.500 0.500 0.500 [1 per cell]
Tc1 0.000 0.000 0.500 [1 per cell]
As1 0.000 0.500 0.000 [2 per cell]

Results
- V: 17.74 Å³ per atom
- E: -32.3 eV for the cell shown


Record 4
Below is a geometry-optimized K5Rb12Hg3 structure, with properties calculated at the GGA-PBE level.

Lattice parameters (Å, degrees): 23.957 23.957 23.957 90.00 90.00 90.00
Space group Ia-3d (No. 230)
One atom of each set of equivalent atoms:
K1 0.000 0.000 0.000 [16 per cell]
K2 0.000 0.250 0.375 [24 per cell]
Rb1 0.018 0.097 0.649 [96 per cell]
Hg1 0.000 0.250 0.125 [24 per cell]

Results
- V: 85.93 Å³ per atom
- E: -128.8 eV for the cell shown


Record 5
Below is a geometry-optimized YBeAl2 structure, with properties calculated at the GGA-PBE level.

Lattice parameters (Å, degrees): 3.425 4.270 5.257 90.00 98.07 90.00
Space group P2/m (No. 10)
One atom of each set of equivalent atoms:
Y1 0.000 0.000 0.000 [1 per cell]
Be1 0.500 0.000 0.500 [1 per cell]
Al1 0.399 0.500 0.728 [2 per cell]

Results
- V: 19.03 Å³ per atom
- E: -17.9 eV for the cell shown


Record 6
Below is a geometry-optimized ZnFePt structure, with properties calculated at the GGA-PBE level.

Lattice parameters (Å, degrees): 2.759 3.787 8.017 90.00 90.00 90.00
Space group Imm2 (No. 44)
One atom of each set of equivalent atoms:
Zn1 0.000 0.000 0.000 [2 per cell]
Fe1 0.000 0.000 0.666 [2 per cell]
Pt1 0.000 0.000 0.332 [2 per cell]

Results
- V: 13.96 Å³ per atom
- E: -33.1 eV for the cell shown


Record 7
Below is a geometry-optimized NaCrP2 structure, with properties calculated at the GGA-PBE level.

Lattice parameters (Å, degrees): 6.234 6.234 6.234 90.00 90.00 90.00
Space group Fm-3m (No. 225)
One atom of each set of equivalent atoms:
Na1 0.000 0.000 0.000 [4 per cell]
Cr1 0.000 0.000 0.500 [4 per cell]
P1 0.250 0.250 0.250 [8 per cell]

Results
- V: 15.14 Å³ per atom
- E: -84.7 eV for the cell shown


Record 8
Below is a geometry-optimized LiAgTe3 structure, with properties calculated at the GGA-PBE level.

Lattice parameters (Å, degrees): 5.504 5.504 5.504 90.00 90.00 90.00
Space group Pm-3m (No. 221)
One atom of each set of equivalent atoms:
Li1 0.000 0.000 0.000 [1 per cell]
Ag1 0.500 0.500 0.500 [1 per cell]
Te1 0.000 0.500 0.500 [3 per cell]

Results
- V: 33.36 Å³ per atom
- Formation energy from raw total energies: 213 meV/atom


Record 9
Below is a geometry-optimized Nd3SiN structure, with properties calculated at the GGA-PBE level.

Lattice parameters (Å, degrees): 9.303 6.231 8.835 90.00 111.97 90.00
Space group P2_1/c (No. 14)
One atom of each set of equivalent atoms:
Nd1 0.067 0.080 0.353 [4 per cell]
Nd2 0.192 0.589 0.552 [4 per cell]
Nd3 0.372 0.124 0.766 [4 per cell]
Si1 0.391 0.623 0.920 [4 per cell]
N1 0.073 0.248 0.599 [4 per cell]

Results
- V: 23.75 Å³ per atom
- Formation energy from raw total energies: -719 meV/atom


Record 10
Below is a geometry-optimized Tb4GaGeN structure, with properties calculated at the GGA-PBE level.

Lattice parameters (Å, degrees): 6.564 15.401 6.562 90.00 90.00 90.00
Space group Cmcm (No. 63)
One atom of each set of equivalent atoms:
Tb1 0.000 0.081 0.250 [4 per cell]
Tb2 0.000 0.419 0.250 [4 per cell]
Tb3 0.250 0.250 0.000 [8 per cell]
Ga1 0.000 0.114 0.750 [4 per cell]
Ge1 0.000 0.387 0.750 [4 per cell]
N1 0.000 0.251 0.250 [4 per cell]

Results
- V: 23.69 Å³ per atom
- Formation energy from raw total energies: -888 meV/atom


Record 11
Below is a geometry-optimized B2PC structure, with properties calculated at the GGA-PBE level.

Lattice parameters (Å, degrees): 2.983 3.526 4.094 83.91 72.91 71.96
Space group P1 (No. 1)
One atom of each set of equivalent atoms:
B1 0.000 0.000 0.000 [1 per cell]
B2 0.131 0.505 0.175 [1 per cell]
P1 0.585 0.344 0.431 [1 per cell]
C1 0.505 0.155 0.858 [1 per cell]

Results
- V: 9.78 Å³ per atom
- E: -26.6 eV for the cell shown


Record 12
Below is a geometry-optimized PaBOs structure, with properties calculated at the GGA-PBE level.

Lattice parameters (Å, degrees): 3.819 3.819 7.661 90.00 90.00 90.00
Space group I4mm (No. 107)
One atom of each set of equivalent atoms:
Pa1 0.000 0.000 0.000 [2 per cell]
B1 0.000 0.000 0.664 [2 per cell]
Os1 0.000 0.000 0.407 [2 per cell]

Results
- V: 18.62 Å³ per atom
- E: -52.9 eV for the cell shown


Record 13
Below is a geometry-optimized KHfPdO4 structure, with properties calculated at the GGA-PBE level.

Lattice parameters (Å, degrees): 6.482 6.534 10.145 90.00 90.00 90.00
Space group Imma (No. 74)
One atom of each set of equivalent atoms:
K1 0.000 0.250 0.110 [4 per cell]
Hf1 0.250 0.250 0.750 [4 per cell]
Pd1 0.000 0.000 0.500 [4 per cell]
O1 0.000 0.049 0.749 [8 per cell]
O2 0.196 0.250 0.540 [8 per cell]

Results
- V: 15.35 Å³ per atom
- Formation energy from raw total energies: -1844 meV/atom


Record 14
Below is a geometry-optimized Al3Ga12Ge5 structure, with properties calculated at the GGA-PBE level.

Lattice parameters (Å, degrees): 15.126 15.126 15.126 90.00 90.00 90.00
Space group Ia-3d (No. 230)
One atom of each set of equivalent atoms:
Al1 0.000 0.250 0.125 [24 per cell]
Ga1 0.021 0.082 0.652 [96 per cell]
Ge1 0.000 0.000 0.000 [16 per cell]
Ge2 0.000 0.250 0.375 [24 per cell]

Results
- V: 21.63 Å³ per atom
- E: -545.0 eV for the cell shown


Record 15
Below is a geometry-optimized Pm5UOs4 structure, with properties calculated at the GGA-PBE level.

Lattice parameters (Å, degrees): 16.303 4.547 7.112 90.00 105.65 90.00
Space group C2/m (No. 12)
One atom of each set of equivalent atoms:
Pm1 0.000 0.000 0.000 [2 per cell]
Pm2 0.169 0.500 0.046 [4 per cell]
Pm3 0.170 0.500 0.545 [4 per cell]
U1 0.000 0.000 0.500 [2 per cell]
Os1 0.004 0.500 0.711 [4 per cell]
Os2 0.142 0.000 0.772 [4 per cell]

Results
- V: 25.39 Å³ per atom
- E: -162.0 eV for the cell shown


Record 16
Below is a geometry-optimized CsNdCuF6 structure, with properties calculated at the GGA-PBE level.

Lattice parameters (Å, degrees): 7.739 7.987 10.295 90.00 90.00 90.00
Space group Imma (No. 74)
One atom of each set of equivalent atoms:
Cs1 0.000 0.250 0.166 [4 per cell]
Nd1 0.250 0.250 0.750 [4 per cell]
Cu1 0.000 0.000 0.500 [4 per cell]
F1 0.000 0.250 0.611 [4 per cell]
F2 0.000 0.250 0.876 [4 per cell]
F3 0.185 0.009 0.369 [16 per cell]

Results
- V: 17.68 Å³ per atom
- Formation energy from raw total energies: -2926 meV/atom


Record 17
Below is a geometry-optimized La6TbPm2Sm structure, with properties calculated at the GGA-PBE level.

Lattice parameters (Å, degrees): 11.548 7.021 9.281 90.00 107.58 90.00
Space group C2/m (No. 12)
One atom of each set of equivalent atoms:
La1 0.128 0.000 0.421 [4 per cell]
La2 0.197 0.267 0.803 [8 per cell]
Tb1 0.000 0.000 0.000 [2 per cell]
Pm1 0.074 0.500 0.170 [4 per cell]
Sm1 0.000 0.500 0.500 [2 per cell]

Results
- V: 35.87 Å³ per atom
- E: -93.2 eV for the cell shown